DFT (PBE) results for a geometry-optimized PrIrPb2O8 structure.

abc: 5.0530 5.0528 6.9217
angles: 90.01 90.01 88.69
Fractional positions:
O 0.8280 0.2030 0.2116
Pb 0.5001 0.5001 0.7571
O 0.1721 0.7971 0.2116
Pr 0.0000 0.0000 0.5000
Pb 0.4999 0.4999 0.2429
Ir 0.0000 0.0000 0.0000
O 0.7113 0.7459 0.0000
O 0.1720 0.7970 0.7884
O 0.8279 0.2029 0.7884
O 0.6604 0.7011 0.5000
O 0.3396 0.2989 0.5000
O 0.2887 0.2541 0.0000

The density comes out at 8.2 g cm⁻³. For the formation energy from raw total energies, the calculation gives -1.254 eV per atom. The electronic total energy comes out at -75.77 eV per cell.

=====

DFT (PBE) results for a geometry-optimized IrPtPbO4 structure.

abc: 5.5060 7.2605 6.2473
angles: 115.48 90.00 112.28
Fractional positions:
Ir 0.5000 0.5000 0.5000
O 0.7484 0.0288 0.7644
O 0.2804 0.0288 0.7644
O 0.6761 0.3521 0.2267
O 0.7196 0.9712 0.2356
Pb 0.8416 0.6831 0.0916
Pt 0.5000 0.0000 0.5000
O 0.6761 0.3521 0.6254
O 0.2516 0.9712 0.2356
Ir 0.0000 0.5000 0.5000
Pt 0.5000 0.0000 0.0000
O 0.3239 0.6479 0.3746
O 0.3239 0.6479 0.7733
Pb 0.1584 0.3169 0.9084

The density comes out at 10.7 g cm⁻³. For the formation energy from raw total energies, the calculation gives -0.494 eV per atom. The electronic total energy comes out at -83.81 eV per cell.

=====

DFT (PBE) results for a geometry-optimized IrPt2PbO structure.

abc: 4.7569 3.8266 4.7569
angles: 90.00 90.00 90.00
Fractional positions:
Pt 0.5000 0.0000 0.0000
Pt 0.0000 0.0000 0.5000
O 0.0000 0.0000 0.0000
Pb 0.5000 0.5000 0.5000
Ir 0.0000 0.5000 0.0000

The density comes out at 15.4 g cm⁻³. For the formation energy from raw total energies, the calculation gives 0.484 eV per atom. The electronic total energy comes out at -27.19 eV per cell.